(1)
Computed, not measured: crystalline Dy2V2GaRu5 at its relaxed geometry at the PBE level of DFT.

Cell lengths 3.1918, 10.2333, 10.2333 Å; angles 90.00, 90.00, 90.00 degrees
With the nearest neighbours (Å) after each atom.
Fractional positions:
V1 0.0000 0.6294 0.8706  6 Ru 2.44-2.46
Dy1 0.0000 0.3273 0.8273  3 V 2.87-3.12, 10 Ru 2.96-3.18, 2 Dy 3.19
Ru1 0.5000 0.5654 0.7014  2 V 2.44, 2 Ga 2.69
Ga1 0.0000 0.0000 0.0000  8 Ru 2.69
Ru2 0.5000 0.9346 0.2014  2 V 2.44, 2 Ga 2.69
Dy2 0.0000 0.8273 0.6727  3 V 2.87-3.12, 10 Ru 2.96-3.18, 2 Dy 3.19
Ru3 0.5000 0.4346 0.2986  2 V 2.44, 2 Ga 2.69
Ru4 0.5000 0.0000 0.5000  4 V 2.46
Ru5 0.5000 0.5000 0.0000  4 V 2.46
Ru6 0.5000 0.2986 0.5654  2 V 2.44, 2 Ga 2.69
Dy3 0.0000 0.1727 0.3273  3 V 2.87-3.12, 10 Ru 2.96-3.18, 2 Dy 3.19
Ga2 0.0000 0.5000 0.5000  8 Ru 2.69
Dy4 0.0000 0.6727 0.1727  3 V 2.87-3.12, 10 Ru 2.96-3.18, 2 Dy 3.19
Ru7 0.5000 0.2014 0.0654  2 V 2.44, 2 Ga 2.69
V2 0.0000 0.8706 0.3706  6 Ru 2.44-2.46
Ru8 0.5000 0.0654 0.7986  2 V 2.44, 2 Ga 2.69
V3 0.0000 0.3706 0.1294  6 Ru 2.44-2.46
Ru9 0.5000 0.7986 0.9346  2 V 2.44, 2 Ga 2.69
V4 0.0000 0.1294 0.6294  6 Ru 2.44-2.46
Ru10 0.5000 0.7014 0.4346  2 V 2.44, 2 Ga 2.69

Results
Space-group type ... P4/mbm (127)
Final energy ... -7.92 eV per atom
Formation energy from the elements ... -0.232 eV/atom
Crystal system ... tetragonal
DOS at the Fermi energy ... 12.7 states/eV per cell


(2)
Computed, not measured: crystalline DyYGaRu at its relaxed geometry at the PBE level of DFT.

Cell lengths 4.9384, 4.9384, 4.9384 Å; angles 60.00, 60.00, 60.00 degrees
With the nearest neighbours (Å) after each atom.
Fractional positions:
Ga1 0.2500 0.2500 0.2500  4 Dy 3.02, 4 Y 3.02
Dy1 0.5000 0.5000 0.5000  4 Ga 3.02, 4 Ru 3.02
Ru1 0.7500 0.7500 0.7500  4 Dy 3.02, 4 Y 3.02
Y1 0.0000 0.0000 0.0000  4 Ru 3.02, 4 Ga 3.02

Results
Space-group type ... F-43m (216)
Final energy ... -6.30 eV per atom
Formation energy from the elements ... -0.454 eV/atom
Crystal system ... cubic
DOS at the Fermi energy ... 2.4 states/eV per cell


(3)
Computed, not measured: crystalline DyYGaRu at its relaxed geometry at the PBE level of DFT.

Cell lengths 3.9024, 4.2990, 5.7244 Å; angles 90.00, 109.93, 90.00 degrees
With the nearest neighbours (Å) after each atom.
Fractional positions:
Dy1 0.1408 0.0000 0.2815  3 Ga 2.96-3.15, 4 Ru 3.00
Y1 0.8563 0.5000 0.7126  3 Ru 3.01-3.09, 4 Ga 3.02
Ga1 0.4335 0.0000 0.8669  2 Ru 2.60
Ru1 0.5695 0.5000 0.1389  2 Ga 2.60

Results
Space-group type ... Amm2 (38)
Final energy ... -6.33 eV per atom
Formation energy from the elements ... -0.492 eV/atom
Crystal system ... orthorhombic
DOS at the Fermi energy ... 3.3 states/eV per cell


(4)
Computed, not measured: crystalline Dy6GaS4 at its relaxed geometry at the PBE level of DFT.

Cell lengths 3.9008, 6.7690, 19.9303 Å; angles 90.00, 90.00, 106.75 degrees
With the nearest neighbours (Å) after each atom.
Fractional positions:
S1 0.8624 0.7247 0.5401  6 Dy 2.72-2.76
S2 0.8624 0.7247 0.9599  6 Dy 2.72-2.76
Dy1 0.0458 0.0916 0.1631  3 S 2.72-2.75, 2 Ga 3.03
Dy2 0.5000 0.0000 0.5000  6 S 2.73-2.76
S3 0.1376 0.2753 0.4599  6 Dy 2.72-2.76
S4 0.5910 0.1819 0.8767  6 Dy 2.71-2.75
S5 0.5910 0.1819 0.6233  6 Dy 2.71-2.75
S6 0.4090 0.8181 0.3767  6 Dy 2.71-2.75
S7 0.1376 0.2753 0.0401  6 Dy 2.72-2.76
Dy3 0.7725 0.5449 0.0844  5 S 2.74-2.76
Dy4 0.2275 0.4551 0.5844  5 S 2.74-2.76
Dy5 0.2275 0.4551 0.9156  5 S 2.74-2.76
S8 0.4090 0.8181 0.1233  6 Dy 2.71-2.75
Dy6 0.0458 0.0916 0.3369  3 S 2.72-2.75, 2 Ga 3.03
Dy7 0.9542 0.9084 0.6631  3 S 2.72-2.75, 2 Ga 3.03
Dy8 0.7725 0.5449 0.4156  5 S 2.74-2.76
Dy9 0.6663 0.3327 0.7500  2 S 2.71, 2 Ga 2.94
Dy10 0.9542 0.9084 0.8369  3 S 2.72-2.75, 2 Ga 3.03
Dy11 0.5000 0.0000 0.0000  6 S 2.73-2.76
Dy12 0.3337 0.6673 0.2500  2 S 2.71, 2 Ga 2.94
Ga1 0.6641 0.3281 0.2500  6 Dy 2.94-3.03
Ga2 0.3359 0.6719 0.7500  6 Dy 2.94-3.03

Results
Space-group type ... Cmcm (63)
Final energy ... -5.88 eV per atom
Formation energy without anion corrections ... -1590 meV per atom
Crystal system ... orthorhombic
DOS at the Fermi energy ... 13.5 states/eV per cell


(5)
Computed, not measured: crystalline Dy2GaS at its relaxed geometry at the PBE level of DFT.

Cell lengths 3.7743, 3.7743, 7.9552 Å; angles 76.28, 76.28, 60.00 degrees
With the nearest neighbours (Å) after each atom.
Fractional positions:
Dy1 0.0723 0.0723 0.7831  3 S 2.72
Dy2 0.2604 0.2604 0.2188  3 S 2.77, 3 Ga 3.07
S1 0.6679 0.6679 0.9962  6 Dy 2.72-2.77
Ga1 0.4994 0.4994 0.5018  6 Dy 3.06-3.07

Results
Space-group type ... R3m (160)
Final energy ... -5.27 eV per atom
Formation energy without anion corrections ... -1177 meV per atom
Crystal system ... trigonal
DOS at the Fermi energy ... 3.4 states/eV per cell


(6)
Computed, not measured: crystalline Dy2GaS at its relaxed geometry at the PBE level of DFT.

Cell lengths 3.8591, 3.8591, 7.5482 Å; angles 75.19, 75.19, 60.00 degrees
With the nearest neighbours (Å) after each atom.
Fractional positions:
Dy1 0.2561 0.2561 0.2318  3 S 2.79, 3 Ga 2.95
Ga1 0.5000 0.5000 0.5000  6 Dy 2.95
S1 0.0000 0.0000 0.0000  6 Dy 2.79
Dy2 0.7439 0.7439 0.7682  3 S 2.79, 3 Ga 2.95

Results
Space-group type ... R-3m (166)
Final energy ... -5.37 eV per atom
Formation energy without anion corrections ... -1277 meV per atom
Crystal system ... trigonal
DOS at the Fermi energy ... 1.6 states/eV per cell


(7)
Computed, not measured: crystalline Dy4GaS3 at its relaxed geometry at the PBE level of DFT.

Cell lengths 5.6194, 5.6194, 5.6194 Å; angles 90.00, 90.00, 90.00 degrees
With the nearest neighbours (Å) after each atom.
Fractional positions:
Ga1 0.0000 0.0000 0.0000  6 Dy 2.81
Dy1 0.5000 0.0000 0.0000  4 S 2.81, 2 Ga 2.81
Dy2 0.0000 0.0000 0.5000  4 S 2.81, 2 Ga 2.81
Dy3 0.5000 0.5000 0.5000  6 S 2.81
S1 0.5000 0.5000 0.0000  6 Dy 2.81
S2 0.5000 0.0000 0.5000  6 Dy 2.81
Dy4 0.0000 0.5000 0.0000  4 S 2.81, 2 Ga 2.81
S3 0.0000 0.5000 0.5000  6 Dy 2.81

Results
Space-group type ... Pm-3m (221)
Final energy ... -5.90 eV per atom
Formation energy without anion corrections ... -1671 meV per atom
Crystal system ... cubic
DOS at the Fermi energy ... 3.0 states/eV per cell


(8)
Computed, not measured: crystalline Dy4Ga2S at its relaxed geometry at the PBE level of DFT.

Cell lengths 4.1205, 6.3011, 7.3896 Å; angles 76.29, 73.81, 70.92 degrees
With the nearest neighbours (Å) after each atom.
Fractional positions:
Dy1 0.0866 0.1980 0.6287  1 S 2.71
S1 0.0000 0.0000 0.0000  6 Dy 2.71-2.72
Dy2 0.9134 0.8020 0.3713  1 S 2.71
Ga1 0.3781 0.5803 0.6635  1 Ga 2.65
Ga2 0.6219 0.4197 0.3365  1 Ga 2.65
Dy3 0.6748 0.7352 0.9151  2 S 2.72, 2 Ga 2.97
Dy4 0.3252 0.2648 0.0849  2 S 2.72, 2 Ga 2.97

Results
Space-group type ... C2/m (12)
Final energy ... -5.01 eV per atom
Formation energy without anion corrections ... -929 meV per atom
Crystal system ... monoclinic
DOS at the Fermi energy ... 6.1 states/eV per cell


(9)
Computed, not measured: crystalline Dy6GaS5 at its relaxed geometry at the PBE level of DFT.

Cell lengths 6.8479, 6.8479, 6.8478 Å; angles 99.58, 99.58, 119.73 degrees
With the nearest neighbours (Å) after each atom.
Fractional positions:
S1 0.1673 0.8327 0.5000  6 Dy 2.79-2.81
S2 0.6666 0.3334 0.0000  6 Dy 2.79-2.80
S3 0.8327 0.1673 0.5000  6 Dy 2.79-2.81
Dy1 0.0829 0.4168 0.2500  5 S 2.79-2.80, 1 Ga 2.80
Dy2 0.7496 0.7496 0.2494  5 S 2.79-2.81, 1 Ga 2.80
Dy3 0.9171 0.5832 0.7500  5 S 2.79-2.80, 1 Ga 2.80
S4 0.5000 0.5000 0.5000  6 Dy 2.80
Dy4 0.5832 0.9171 0.7500  5 S 2.79-2.80, 1 Ga 2.80
Dy5 0.2504 0.2504 0.7506  5 S 2.79-2.81, 1 Ga 2.80
Dy6 0.4168 0.0829 0.2500  5 S 2.79-2.80, 1 Ga 2.80
Ga1 0.0000 0.0000 0.0000  6 Dy 2.80
S5 0.3334 0.6666 0.0000  6 Dy 2.79-2.80

Results
Space-group type ... C2/m (12)
Final energy ... -6.05 eV per atom
Formation energy without anion corrections ... -1774 meV per atom
Crystal system ... monoclinic
DOS at the Fermi energy ... 4.8 states/eV per cell


(10)
Computed, not measured: crystalline Dy2Ga2S7 at its relaxed geometry at the PBE level of DFT.

Cell lengths 6.5703, 7.0858, 7.0858 Å; angles 111.38, 102.45, 102.45 degrees
With the nearest neighbours (Å) after each atom.
Fractional positions:
Ga1 0.1408 0.7634 0.7634  4 S 2.22-2.40
S1 0.7200 0.1037 0.4385  1 Ga 2.22
Dy1 0.5000 0.6874 0.3126  6 S 2.70-2.81
S2 0.0000 0.0000 0.0000  2 Ga 2.40, 2 S 2.46
S3 0.7615 0.6754 0.6754  1 Ga 2.32, 1 S 2.46
Dy2 0.5000 0.3126 0.6874  6 S 2.70-2.81
Ga2 0.8592 0.2366 0.2366  4 S 2.22-2.40
S4 0.2385 0.3246 0.3246  1 Ga 2.32, 1 S 2.46
S5 0.2800 0.8963 0.5615  1 Ga 2.22
S6 0.7200 0.4385 0.1037  1 Ga 2.22
S7 0.2800 0.5615 0.8963  1 Ga 2.22

Results
Space-group type ... C2/m (12)
Final energy ... -5.09 eV per atom
Formation energy without anion corrections ... -1078 meV per atom
Crystal system ... monoclinic
DOS at the Fermi energy ... 0.0 states/eV per cell


(11)
Computed, not measured: crystalline Dy2GaS at its relaxed geometry at the PBE level of DFT.

Cell lengths 3.9572, 4.1420, 11.1668 Å; angles 100.69, 90.00, 90.00 degrees
With the nearest neighbours (Å) after each atom.
Fractional positions:
Dy1 0.7500 0.6834 0.3667  5 S 2.72-2.87
Dy2 0.2500 0.0691 0.1382  1 S 2.71, 4 Ga 2.94
Dy3 0.7500 0.9309 0.8618  1 S 2.71, 4 Ga 2.94
S1 0.7500 0.8074 0.6148  6 Dy 2.71-2.87
Ga1 0.2500 0.4601 0.9201  2 Ga 2.64, 4 Dy 2.94
Dy4 0.2500 0.3166 0.6333  5 S 2.72-2.87
S2 0.2500 0.1926 0.3852  6 Dy 2.71-2.87
Ga2 0.7500 0.5399 0.0799  2 Ga 2.64, 4 Dy 2.94

Results
Space-group type ... Cmcm (63)
Final energy ... -5.43 eV per atom
Formation energy without anion corrections ... -1336 meV per atom
Crystal system ... orthorhombic
DOS at the Fermi energy ... 3.3 states/eV per cell


(12)
Computed, not measured: crystalline Dy5GaS4 at its relaxed geometry at the PBE level of DFT.

Cell lengths 5.5925, 6.8749, 6.8749 Å; angles 80.48, 66.00, 66.00 degrees
With the nearest neighbours (Å) after each atom.
Fractional positions:
S1 0.8027 0.7984 0.5983  6 Dy 2.79-2.82
Dy1 0.5011 0.0000 0.0000  2 Ga 2.80, 4 S 2.82
Dy2 0.3026 0.7985 0.5983  5 S 2.79-2.82, 1 Ga 2.82
Dy3 0.6994 0.2015 0.4017  5 S 2.79-2.82, 1 Ga 2.82
Dy4 0.9009 0.4017 0.7985  5 S 2.79-2.82, 1 Ga 2.82
Ga1 0.0010 0.0000 0.0000  6 Dy 2.80-2.82
S2 0.1994 0.2016 0.4017  6 Dy 2.79-2.82
S3 0.6011 0.5983 0.2016  6 Dy 2.79-2.82
Dy5 0.1011 0.5983 0.2015  5 S 2.79-2.82, 1 Ga 2.82
S4 0.4010 0.4017 0.7984  6 Dy 2.79-2.82

Results
Space-group type ... I4/m (87)
Final energy ... -5.99 eV per atom
Formation energy without anion corrections ... -1738 meV per atom
Crystal system ... tetragonal
DOS at the Fermi energy ... 3.4 states/eV per cell


What did the eleventh record say?
Computed, not measured: crystalline Dy2GaS at its relaxed geometry at the PBE level of DFT.

Cell lengths 3.9572, 4.1420, 11.1668 Å; angles 100.69, 90.00, 90.00 degrees
With the nearest neighbours (Å) after each atom.
Fractional positions:
Dy1 0.7500 0.6834 0.3667  5 S 2.72-2.87
Dy2 0.2500 0.0691 0.1382  1 S 2.71, 4 Ga 2.94
Dy3 0.7500 0.9309 0.8618  1 S 2.71, 4 Ga 2.94
S1 0.7500 0.8074 0.6148  6 Dy 2.71-2.87
Ga1 0.2500 0.4601 0.9201  2 Ga 2.64, 4 Dy 2.94
Dy4 0.2500 0.3166 0.6333  5 S 2.72-2.87
S2 0.2500 0.1926 0.3852  6 Dy 2.71-2.87
Ga2 0.7500 0.5399 0.0799  2 Ga 2.64, 4 Dy 2.94

Results
Space-group type ... Cmcm (63)
Final energy ... -5.43 eV per atom
Formation energy without anion corrections ... -1336 meV per atom
Crystal system ... orthorhombic
DOS at the Fermi energy ... 3.3 states/eV per cell


Among the records above, which one has the highest DOS at the Fermi energy?
Dy6GaS4


What is the final energy in the sixth record?
-5.37 eV per atom